Material: P3OsPd
Method: DFT, PBE
State: optimized geometry

```
P3OsPd
1.0
4.581 0.000 0.000
0.000 4.581 0.000
0.000 0.000 4.581
Os P Pd
1 3 1
direct
0.000 0.000 0.000
0.000 0.500 0.000
0.000 0.000 0.500
0.500 0.000 0.000
0.500 0.500 0.500
```

Results
**ΔH_f (0 K)**: 0.832 eV per atom
**DOS at the Fermi energy**: 8.5 states/eV/f.u.

***

Material: POs3Pd
Method: DFT, PBE
State: optimized geometry

```
POs3Pd
1.0
-0.357 -4.262 0.718
3.372 0.176 2.721
-2.703 0.783 3.300
Pd Os P
1 3 1
direct
0.500 0.500 0.500
0.000 0.500 0.000
0.500 0.000 0.000
0.000 0.000 0.500
0.000 0.000 0.000
```

Results
**ΔH_f (0 K)**: 0.996 eV per atom
**DOS at the Fermi energy**: 6.9 states/eV/f.u.

***

Material: POs3Pd
Method: DFT, PBE
State: optimized geometry

```
POs3Pd
1.0
4.732 0.000 0.000
0.000 4.732 0.000
0.000 0.000 4.732
Os P Pd
3 1 1
direct
0.500 0.000 0.000
0.000 0.500 0.000
0.000 0.000 0.500
0.500 0.500 0.500
0.000 0.000 0.000
```

Results
**ΔH_f (0 K)**: 2.969 eV per atom
**DOS at the Fermi energy**: 6.6 states/eV/f.u.

***

Material: SrP2OsPd
Method: DFT, PBE
State: optimized geometry

```
SrP2OsPd
1.0
3.978 0.000 0.000
0.000 3.978 0.000
-1.989 -1.989 6.027
Sr Pd P Os
1 1 2 1
direct
0.000 0.000 0.000
0.250 0.750 0.500
0.640 0.640 0.279
0.360 0.360 0.721
0.750 0.250 0.500
```

Results
**ΔH_f (0 K)**: -0.644 eV per atom
**DOS at the Fermi energy**: 2.0 states/eV/f.u.

***

Material: TlPOs2Pd
Method: DFT, PBE
State: optimized geometry

```
TlPOs2Pd
1.0
-1.978 3.641 2.847
-4.466 -1.013 -1.808
-0.751 -3.309 3.710
Os Tl P Pd
2 1 1 1
direct
0.500 0.000 0.000
0.000 0.000 0.500
0.000 0.000 0.000
0.500 0.500 0.500
0.000 0.500 0.000
```

Results
**ΔH_f (0 K)**: 2.765 eV per atom
**DOS at the Fermi energy**: 7.3 states/eV/f.u.

***

Material: ZrPOs2Pd
Method: DFT, PBE
State: optimized geometry

```
ZrPOs2Pd
1.0
4.724 0.000 0.000
0.000 4.869 0.000
0.000 0.000 4.724
Pd P Zr Os
1 1 1 2
direct
0.000 0.000 0.000
0.500 0.500 0.500
0.000 0.500 0.000
0.500 0.000 0.000
0.000 0.000 0.500
```

Results
**ΔH_f (0 K)**: 1.901 eV per atom
**DOS at the Fermi energy**: 7.4 states/eV/f.u.

***

Q: Among the records above, which one has the lowest ΔH_f (0 K)?
A: SrP2OsPd

***

Q: Number 5 is which compound?
A: TlPOs2Pd

***

Q: Among the records above, which one has the highest ΔH_f (0 K)?
A: number 3

***

Q: Among the records above, which one has the lowest DOS at the Fermi energy?
A: SrP2OsPd